Material: TcW3O
Method: DFT, PBE+U
State: optimized geometry Values from VASP.

The calculation puts the energy above the most stable polymorph in this dataset at 0.0000 eV per atom. The value obtained for the final energy is -33.8 eV for the cell shown. For the density of states at the Fermi level, the calculation gives 0.7762 states/eV/atom. The calculated volume is 14.57 Å³ per atom. For the spin magnetization, the calculation gives 0.0000 μB/atom.

```
&SYSTEM
  ibrav = 0, nat = 5, ntyp = 3
/
ATOMIC_SPECIES
Tc 98.00 Tc.upf
W 183.84 W.upf
O 16.00 O.upf
CELL_PARAMETERS angstrom
4.1764 0.0000 0.0000
0.0000 4.1764 0.0000
0.0000 0.0000 4.1764
ATOMIC_POSITIONS crystal
Tc 0.0000 0.0000 0.0000
W 0.0000 0.5000 0.5000
W 0.5000 0.0000 0.5000
W 0.5000 0.5000 0.0000
O 0.5000 0.5000 0.5000
```